VASP calculation (PBE) on crystalline HPd5S at its relaxed geometry.

Magnetic moment ... 0.000 μB/atom
V ... 392 Å³/cell
Space-group type ... No. 14
VASP energy ... -136.331 eV for the cell shown

Cell: 5.3123 7.6738 10.3002 Å, 90.00 90.00 110.94°
Last column: nearest neighbours and their distance in Å.
Fractional positions:
1 Pd 0.2798 0.2345 0.9080  1 H 1.96
2 S 0.1724 0.7687 0.4830  6 Pd 2.26-2.53
3 Pd 0.2202 0.2655 0.4080  1 H 1.96
4 Pd 0.9218 0.1554 0.1506  1 H 1.89
5 S 0.8276 0.2313 0.5170  6 Pd 2.26-2.53
6 Pd 0.5782 0.3446 0.6506  1 H 1.89
7 Pd 0.0299 0.1125 0.6713  1 H 1.90
8 Pd 0.7202 0.7655 0.0920  1 H 1.96
9 H 0.6932 0.6156 0.2487  4 Pd 1.89-2.04
10 Pd 0.7798 0.7345 0.5920  1 H 1.96
11 H 0.1932 0.1156 0.2513  4 Pd 1.89-2.04
12 H 0.3068 0.3844 0.7513  4 Pd 1.89-2.04
13 Pd 0.1801 0.5212 0.6112  1 H 2.04
14 Pd 0.5516 0.0522 0.3626  1 S 2.26, 1 H 2.42
15 Pd 0.6801 0.0212 0.8888  1 H 2.04
16 Pd 0.9484 0.4478 0.8626  1 S 2.26, 1 H 2.42
17 Pd 0.8199 0.4788 0.3888  1 H 2.04
18 H 0.8068 0.8844 0.7487  4 Pd 1.89-2.04
19 S 0.6724 0.2687 0.0170  6 Pd 2.26-2.53
20 Pd 0.4218 0.6554 0.3494  1 H 1.89
21 Pd 0.9701 0.8875 0.3287  1 H 1.90
22 Pd 0.4701 0.3875 0.1713  1 H 1.90
23 Pd 0.3199 0.9788 0.1112  1 H 2.04
24 Pd 0.0782 0.8446 0.8494  1 H 1.89
25 Pd 0.4484 0.9478 0.6374  1 S 2.26, 1 H 2.42
26 Pd 0.5299 0.6125 0.8287  1 H 1.90
27 Pd 0.0516 0.5522 0.1374  1 S 2.26, 1 H 2.42
28 S 0.3276 0.7313 0.9830  6 Pd 2.26-2.53